Compound: SmZrNp2N4
Source: Alexandria
Functional: PBE
Structure: relaxed

Results
Crystal system = monoclinic
E = -83.253 eV/f.u.
Energy relative to the elements, uncorrected = -1.350 eV/atom

a = 5.927 Å, b = 3.416 Å, c = 5.958 Å
α = 90.00°, β = 109.33°, γ = 90.00°
Element x y z (fractional)
1 Sm 0.000 0.000 0.000
2 Zr 0.000 0.500 0.500
3 Np 0.500 0.000 0.500
4 Np 0.500 0.500 0.000
5 N 0.250 0.000 0.734
6 N 0.262 0.500 0.273
7 N 0.738 0.500 0.727
8 N 0.750 0.000 0.266